First-principles (PBE) data for a relaxed Tb2ThNi6 crystal, as listed in the Alexandria database.

Summary:
DOS at the Fermi energy in states/eV/cell: 11.98
Distance to the lowest polymorph of the same formula in eV per atom: 0.000
E_form in eV/atom: -0.4019

Cell lengths 3.714, 7.033, 7.033 Å; angles 120.00, 90.00, 90.00 degrees
Sites, in units of the cell vectors:
Th  0.000  0.000  0.000
Ni  0.500  0.666  0.666
Ni  0.500  0.666  0.000
Ni  0.500  0.334  0.000
Ni  0.500  0.334  0.334
Ni  0.500  0.000  0.666
Ni  0.500  0.000  0.334
Tb  0.000  0.667  0.333
Tb  0.000  0.333  0.667